1.
DFT (GGA-PBE) results for a geometry-optimized Na2UPbS4 structure.

Cell and atoms, written as POSCAR:
```
Na2UPbS4
1.0
7.038 0.000 0.000
0.000 4.082 0.000
-2.416 0.000 6.837
Na U Pb S
2 1 1 4
direct
0.000 0.000 0.000
0.000 0.500 0.500
0.500 0.000 0.500
0.500 0.500 0.000
0.267 0.000 0.725
0.272 0.500 0.275
0.728 0.500 0.725
0.733 0.000 0.275
```

**ΔE_f (raw)**: -9.1 eV/f.u.



2.
DFT (GGA-PBE) results for a geometry-optimized Cu6SnPd structure.

Cell and atoms, written as POSCAR:
```
Cu6SnPd
1.0
5.383 0.000 0.000
-2.691 4.662 0.000
0.000 0.000 4.346
Cu Sn Pd
6 1 1
direct
0.007 0.503 0.000
0.175 0.350 0.500
0.175 0.825 0.500
0.497 0.503 0.000
0.497 0.993 0.000
0.650 0.825 0.500
0.000 0.000 0.000
0.667 0.333 0.500
```

**Calculated formation energy**: -0.0583 eV/atom



The calculation returns the following volume values, one per record and in order: 24.6, 13.6 Å³/atom.
The calculation returns the following spin magnetization values, one per record and in order: 2.0, 0.0 μB/cell.